Computed, not measured: crystalline PrCd5Rh at its relaxed geometry at the PBE level of DFT.

Properties
Crystal system: tetragonal
Final energy in eV per cell: -18.18
Total magnetic moment in μB/f.u.: 0.00

Cell: 4.7473 4.7473 7.4972 Å, 90.00 90.00 90.00°
Last column: nearest neighbours and their distance in Å.
Sites, in units of the cell vectors:
Cd 0.5000 0.0000 0.3036  2 Rh 2.79, 1 Cd 2.95
Pr 0.0000 0.0000 0.0000  12 Cd 3.29-3.36
Cd 0.0000 0.5000 0.6964  2 Rh 2.79, 1 Cd 2.95
Cd 0.5000 0.5000 0.0000  8 Cd 3.29, 4 Pr 3.36
Rh 0.0000 0.0000 0.5000  8 Cd 2.79
Cd 0.5000 0.0000 0.6964  2 Rh 2.79, 1 Cd 2.95
Cd 0.0000 0.5000 0.3036  2 Rh 2.79, 1 Cd 2.95